HfGa2CoO6 | GGA+U | relaxed

a b c (Å): 5.201 5.204 5.537
angles (deg): 61.96 61.99 60.01
Site moments in Bohr magnetons follow the coordinates.
Atoms (fractional coordinates):
Ga 0.520 0.520 0.441  0.00
Ga 0.026 0.025 0.923  0.00
O 0.724 0.128 0.752  0.04
O 0.900 0.619 0.249  0.03
O 0.232 0.900 0.249  0.03
O 0.396 0.724 0.752  0.04
O 0.128 0.396 0.752  0.04
O 0.619 0.232 0.249  0.03
Hf 0.308 0.308 0.076  0.03
Co 0.809 0.809 0.572  2.73

* raw total energy: -7.2005 eV/atom
* M_tot: 3.019 μB per cell
* space group: No. 146